K3HoMo2O8 | GGA+U | optimized geometry

abc: 6.1187 6.1187 7.7448
angles: 90.00 90.00 120.00
Positions (direct):
K 0.0000 0.0000 0.0000
K 0.3333 0.6667 0.6648
K 0.6667 0.3333 0.3352
Ho 0.0000 0.0000 0.5000
Mo 0.3333 0.6667 0.2266
Mo 0.6667 0.3333 0.7734
O 0.1705 0.3410 0.3263
O 0.1705 0.8295 0.3263
O 0.3333 0.6667 0.9943
O 0.3410 0.1705 0.6737
O 0.6590 0.8295 0.3263
O 0.6667 0.3333 0.0057
O 0.8295 0.1705 0.6737
O 0.8295 0.6590 0.6737

The calculation puts the total energy at -0.472 Ry per atom. The calculation puts the density of states at the Fermi level at 0.442 states/eV per atom.



KHoMoO5 | GGA+U | optimized geometry

abc: 6.3730 6.3730 8.0952
angles: 104.38 104.38 105.35
Positions (direct):
K 0.1823 0.8177 0.7500
K 0.8177 0.1823 0.2500
Ho 0.5000 0.5000 0.0000
Ho 0.5000 0.5000 0.5000
Mo 0.1814 0.8186 0.2500
Mo 0.8186 0.1814 0.7500
O 0.1076 0.2596 0.9008
O 0.1958 0.6264 0.3794
O 0.2596 0.1076 0.4008
O 0.3736 0.8042 0.1206
O 0.4330 0.5670 0.7500
O 0.5670 0.4330 0.2500
O 0.6264 0.1958 0.8794
O 0.7404 0.8924 0.5992
O 0.8042 0.3736 0.6206
O 0.8924 0.7404 0.0992

The calculation puts the total energy at -0.514 Ry per atom.



K3Ho3MoO8 | GGA+U | optimized geometry

abc: 6.7715 6.7715 7.4107
angles: 117.19 117.19 60.31
Positions (direct):
K 0.0000 0.0000 0.0000
K 0.0000 0.5000 0.0000
K 0.5000 0.0000 0.0000
Ho 0.0000 0.5000 0.5000
Ho 0.5000 0.0000 0.5000
Ho 0.5000 0.5000 0.5000
Mo 0.0000 0.0000 0.5000
O 0.2110 0.2110 0.6726
O 0.2149 0.7448 0.6728
O 0.2552 0.7851 0.3272
O 0.2720 0.2720 0.3185
O 0.7280 0.7280 0.6815
O 0.7448 0.2149 0.6728
O 0.7851 0.2552 0.3272
O 0.7890 0.7890 0.3274

The calculation puts the total energy at -0.503 Ry per atom. The calculation puts the density of states at the Fermi level at 0.000 states/eV per atom.



K4Ho3MoO8 | GGA+U | optimized geometry

abc: 7.3711 7.3711 7.3711
angles: 55.33 55.33 55.33
Positions (direct):
K 0.0000 0.0000 0.0000
K 0.0000 0.5000 0.5000
K 0.5000 0.0000 0.5000
K 0.5000 0.5000 0.0000
Ho 0.0000 0.0000 0.5000
Ho 0.0000 0.5000 0.0000
Ho 0.5000 0.0000 0.0000
Mo 0.5000 0.5000 0.5000
O 0.2284 0.2284 0.2284
O 0.2337 0.7255 0.7255
O 0.2745 0.2745 0.7663
O 0.2745 0.7663 0.2745
O 0.7255 0.2337 0.7255
O 0.7255 0.7255 0.2337
O 0.7663 0.2745 0.2745
O 0.7716 0.7716 0.7716

The calculation puts the total energy at -0.481 Ry per atom. The calculation puts the density of states at the Fermi level at 0.000 states/eV per atom.



K2HoMo3O12 | GGA+U | optimized geometry

abc: 7.5835 7.5835 7.5835
angles: 59.34 59.34 59.34
Positions (direct):
K 0.1565 0.1565 0.1565
K 0.8435 0.8435 0.8435
Ho 0.5000 0.5000 0.5000
Mo 0.0000 0.5000 0.5000
Mo 0.5000 0.0000 0.5000
Mo 0.5000 0.5000 0.0000
O 0.1450 0.5779 0.5779
O 0.2009 0.2009 0.5631
O 0.2009 0.5631 0.2009
O 0.4221 0.4221 0.8550
O 0.4221 0.8550 0.4221
O 0.4369 0.7991 0.7991
O 0.5631 0.2009 0.2009
O 0.5779 0.1450 0.5779
O 0.5779 0.5779 0.1450
O 0.7991 0.4369 0.7991
O 0.7991 0.7991 0.4369
O 0.8550 0.4221 0.4221

The calculation puts the total energy at -0.492 Ry per atom. The calculation puts the density of states at the Fermi level at 0.592 states/eV per atom.



K3Ho2MoO6 | GGA+U | optimized geometry

abc: 5.9019 5.9019 6.5162
angles: 98.67 98.67 119.99
Positions (direct):
K 0.0000 0.0000 0.0000
K 0.3364 0.6636 0.0000
K 0.6636 0.3364 0.0000
Ho 0.1668 0.8332 0.5000
Ho 0.8332 0.1668 0.5000
Mo 0.5000 0.5000 0.5000
O 0.1118 0.4384 0.3151
O 0.2347 0.2347 0.6844
O 0.4384 0.1118 0.3151
O 0.5616 0.8882 0.6849
O 0.7653 0.7653 0.3156
O 0.8882 0.5616 0.6849

The calculation puts the total energy at -0.478 Ry per atom. The calculation puts the density of states at the Fermi level at 0.000 states/eV per atom.



Copy entry 3 word for word.
K3Ho3MoO8 | GGA+U | optimized geometry

abc: 6.7715 6.7715 7.4107
angles: 117.19 117.19 60.31
Positions (direct):
K 0.0000 0.0000 0.0000
K 0.0000 0.5000 0.0000
K 0.5000 0.0000 0.0000
Ho 0.0000 0.5000 0.5000
Ho 0.5000 0.0000 0.5000
Ho 0.5000 0.5000 0.5000
Mo 0.0000 0.0000 0.5000
O 0.2110 0.2110 0.6726
O 0.2149 0.7448 0.6728
O 0.2552 0.7851 0.3272
O 0.2720 0.2720 0.3185
O 0.7280 0.7280 0.6815
O 0.7448 0.2149 0.6728
O 0.7851 0.2552 0.3272
O 0.7890 0.7890 0.3274

The calculation puts the total energy at -0.503 Ry per atom. The calculation puts the density of states at the Fermi level at 0.000 states/eV per atom.